CoCu2I6 (PBE, relaxed); formation energy from raw total energies = -75 meV/atom; volume = 38.975 Å³/atom; crystal system = monoclinic
1.0
7.1870 -7.5146 0.0000
7.1870 7.5146 0.0000
-2.9800 0.0000 6.4950
Co Cu I
2 4 12
Direct
0.2016 0.7984 0.7500
0.7984 0.2016 0.2500
0.2167 0.3681 0.6200
0.3681 0.2167 0.1200
0.6319 0.7833 0.8800
0.7833 0.6319 0.3800
0.0044 0.7933 0.4445
0.1810 0.5939 0.8643
0.2067 0.9956 0.0555
0.2554 0.4069 0.3020
0.4061 0.8190 0.6357
0.4069 0.2554 0.8020
0.5931 0.7446 0.1980
0.5939 0.1810 0.3643
0.7446 0.5931 0.6980
0.7933 0.0044 0.9445
0.8190 0.4061 0.1357
0.9956 0.2067 0.5555

***

CdIn2Ir (PBE, relaxed); energy of formation = 98.8 meV/atom; volume = 19.793 Å³/atom; crystal system = monoclinic
1.0
3.2526 0.0000 0.0000
0.0000 4.0152 0.0000
-0.0121 0.0000 6.0622
Cd In Ir
1 2 1
Direct
0.0000 0.0000 0.0000
0.4971 0.5000 0.2675
0.5029 0.5000 0.7325
0.0000 0.0000 0.5000

***

| no. | N(E_F) (states/eV per cell) | DFT total energy (eV per atom) | total magnetic moment (μB per cell) |
| --- | --- | --- | --- |
| 1 | 24.839 | -2.809 | 6.1 |
| 2 | 1.643 | -3.714 | 0.0 |